ZnRe2As | SCAN | PBEsol geometry

The space group is Pm (No. 6) and the conventional cell measures 2.8769, 4.3346 and 4.9353 Å, with angles of 90.00, 106.11 and 90.00 degrees. Symmetry generates all atoms from Zn at (0.0000, 0.0000, 0.0000), Re at (0.3186, 0.5000, 0.6753), Re at (0.7284, 0.0000, 0.4770) and As at (0.5952, 0.5000, 0.2125).

For the uncorrected energy, the calculation gives -43.682 eV per atom. The density of states at the Fermi level comes out at 0.4987 states/eV/atom. For the excess energy over the best structure of this formula in the dataset, the calculation gives 0.000 eV per atom. The formation enthalpy at 0 K is 0.293 eV per atom.